1.
Computed, not measured: PdBrO2 after structural relaxation at the PBE level of DFT.

Formation energy from raw total energies in meV per atom: 472
SG: P3m1 (156)

Cell and atoms, written as POSCAR:
```
PdBrO2
1.0
3.0611 -1.7673 0.0000
0.0000 3.5347 0.0000
0.0000 0.0000 6.5050
O Pd Br
2 1 1
direct
0.3333 0.6667 0.7077 O
0.6667 0.3333 0.3700 O
0.3333 0.6667 0.4205 Pd
0.0000 0.0000 0.9567 Br
```

---

2.
Computed, not measured: PdBrO2 after structural relaxation at the PBE level of DFT.

Formation energy from raw total energies in meV per atom: 593
SG: P4/mmm (123)

Cell and atoms, written as POSCAR:
```
PdBrO2
1.0
3.4519 0.0000 0.0000
0.0000 3.4519 0.0000
0.0000 0.0000 4.5025
Br Pd O
1 1 2
direct
0.0000 0.0000 0.5000 Br
0.5000 0.5000 0.0000 Pd
0.5000 0.5000 0.5000 O
0.0000 0.0000 0.0000 O
```